A geometry-optimized Sm5Tm6In structure, computed with PBE-GGA.

Cell: 6.1094 7.8332 7.8332 Å, 84.20 96.98 96.98°
Closest atoms and distances in Å follow each position.
Fractional positions:
Sm (0.5000, 0.5000, 0.5000)  6 Tm 3.51-3.55, 6 Sm 3.53-3.56
Sm (0.0000, 0.6682, 0.3318)  1 In 3.48, 6 Tm 3.52-3.55, 5 Sm 3.53-3.54
Sm (0.5000, 0.1612, 0.8388)  4 Sm 3.39-3.56, 6 Tm 3.45-3.58, 2 In 3.49
Sm (0.5000, 0.8388, 0.1612)  4 Sm 3.39-3.56, 6 Tm 3.45-3.58, 2 In 3.49
Sm (0.0000, 0.3318, 0.6682)  1 In 3.48, 6 Tm 3.52-3.55, 5 Sm 3.53-3.54
Tm (0.2376, 0.7512, 0.7512)  1 In 3.44, 6 Tm 3.47-3.54, 5 Sm 3.50-3.55
Tm (0.7437, 0.9160, 0.5893)  6 Tm 3.43-3.63, 5 Sm 3.45-3.58, 1 In 3.49
Tm (0.7624, 0.2488, 0.2488)  1 In 3.44, 6 Tm 3.47-3.54, 5 Sm 3.50-3.55
Tm (0.2563, 0.4107, 0.0840)  6 Tm 3.43-3.63, 5 Sm 3.45-3.58, 1 In 3.49
Tm (0.2563, 0.0840, 0.4107)  6 Tm 3.43-3.63, 5 Sm 3.45-3.58, 1 In 3.49
Tm (0.7437, 0.5893, 0.9160)  6 Tm 3.43-3.63, 5 Sm 3.45-3.58, 1 In 3.49
In (0.0000, 0.0000, 0.0000)  6 Tm 3.44-3.49, 6 Sm 3.48-3.49

total energy	-53.789	eV for the cell shown
magnetic moment	0.00	μB/f.u.